Material: TbSm2DyTl2
Method: DFT, PBE-GGA
State: optimized geometry

Computed properties:
**Crystal system**: orthorhombic

Cell: 5.1598 10.1277 6.8396 Å, 90.00 90.00 90.00°
Space group Pmc2_1 (No. 26)
Unique sites:
1 Tb 0.0000 0.0408 0.0000
2 Sm 0.0000 0.3141 0.3646
3 Sm 0.5000 0.4586 0.0900
4 Dy 0.5000 0.1842 0.7205
5 Tl 0.0000 0.3585 0.8350
6 Tl 0.5000 0.1304 0.2544

=====

Material: TbSmDy2Tl4
Method: DFT, PBE-GGA
State: optimized geometry

Computed properties:
**Crystal system**: trigonal

Cell: 5.3958 5.3958 26.4742 Å, 90.00 90.00 120.00°
Space group R-3m (No. 166, hexagonal axes)
Unique sites:
1 Tb 0.0000 0.0000 0.0000
2 Sm 0.0000 0.0000 0.5000
3 Dy 0.0000 0.0000 0.2502
4 Tl 0.0000 0.0000 0.1243
5 Tl 0.0000 0.0000 0.3743

=====

Material: Tb2Sm3Dy6Tl
Method: DFT, PBE-GGA
State: optimized geometry

Computed properties:
**Crystal system**: monoclinic

Cell: 6.1289 10.6257 11.6939 Å, 90.00 100.15 90.00°
Space group C2/m (No. 12)
Unique sites:
1 Tb 0.0000 0.1661 0.0000
2 Sm 0.0000 0.0000 0.5000
3 Sm 0.0000 0.3328 0.5000
4 Dy 0.2451 0.3358 0.2454
5 Dy 0.2474 0.5000 0.7531
6 Tl 0.0000 0.5000 0.0000

=====

Material: TbSmDy6Tm2
Method: DFT, PBE-GGA
State: optimized geometry

Computed properties:
**Crystal system**: monoclinic

Cell: 9.0805 14.9476 9.4782 Å, 90.00 96.86 90.00°
Space group C2/c (No. 15)
Unique sites:
1 Tb 0.0000 0.0906 0.2500
2 Sm 0.0000 0.4727 0.7500
3 Dy 0.0632 0.3166 0.4439
4 Dy 0.0987 0.1091 0.6184
5 Dy 0.2090 0.2737 0.8177
6 Tm 0.2494 0.0520 0.9533

=====

Material: TbSmDyTm2
Method: DFT, PBE-GGA
State: optimized geometry

Computed properties:
**Crystal system**: orthorhombic

Cell: 8.3352 11.3933 7.1599 Å, 90.00 90.00 90.00°
Space group Cmcm (No. 63)
Unique sites:
1 Tb 0.0000 0.0008 0.2500
2 Sm 0.0000 0.2742 0.2500
3 Dy 0.0000 0.2776 0.7500
4 Tm 0.1886 0.5000 0.0000

=====

Material: TbSm2DyTm6
Method: DFT, PBE-GGA
State: optimized geometry

Computed properties:
**Crystal system**: monoclinic

Cell: 8.9390 14.8999 9.5664 Å, 90.00 98.79 90.00°
Space group C2/c (No. 15)
Unique sites:
1 Tb 0.0000 0.0197 0.2500
2 Sm 0.2457 0.0521 0.5432
3 Dy 0.0000 0.4071 0.7500
4 Tm 0.0650 0.1902 0.9427
5 Tm 0.1021 0.3939 0.1193
6 Tm 0.2011 0.2242 0.3146

=====

Material: TbSm2Dy5Tm
Method: DFT, PBE-GGA
State: optimized geometry

Computed properties:
**Crystal system**: tetragonal

Cell: 8.6103 8.6103 15.6221 Å, 90.00 90.00 90.00°
Space group I4/mcm (No. 140)
Unique sites:
1 Tb 0.0000 0.0000 0.2500
2 Sm 0.1175 0.3825 0.0000
3 Dy 0.0000 0.0000 0.0000
4 Dy 0.2115 0.2885 0.3604
5 Tm 0.0000 0.5000 0.2500

=====

Material: TbSm2Dy4Tm
Method: DFT, PBE-GGA
State: optimized geometry

Computed properties:
**Crystal system**: orthorhombic

Cell: 6.7933 11.7741 13.2502 Å, 90.00 90.00 90.00°
Space group Imma (No. 74)
Unique sites:
1 Tb 0.0000 0.0000 0.0000
2 Sm 0.0000 0.0000 0.5000
3 Sm 0.2500 0.2500 0.2500
4 Dy 0.0000 0.0037 0.7510
5 Dy 0.2492 0.2500 0.9961
6 Tm 0.2500 0.2500 0.7500

=====

Material: Tb3Sm6Dy2Tm
Method: DFT, PBE-GGA
State: optimized geometry

Computed properties:
**Crystal system**: monoclinic

Cell: 6.2162 10.7626 11.8400 Å, 90.00 100.04 90.00°
Space group C2/m (No. 12)
Unique sites:
1 Tb 0.0000 0.0000 0.0000
2 Tb 0.0000 0.3334 0.0000
3 Sm 0.2503 0.0000 0.7492
4 Sm 0.2503 0.1665 0.2511
5 Dy 0.0000 0.1666 0.5000
6 Tm 0.0000 0.5000 0.5000

=====

Material: Tb2SmDyTm6
Method: DFT, PBE-GGA
State: optimized geometry

Computed properties:
**Crystal system**: monoclinic

Cell: 8.9625 14.9066 9.4780 Å, 90.00 97.67 90.00°
Space group C2/c (No. 15)
Unique sites:
1 Tb 0.2487 0.0530 0.0448
2 Sm 0.0000 0.0231 0.7500
3 Dy 0.0000 0.4088 0.2500
4 Tm 0.0637 0.1889 0.4423
5 Tm 0.1011 0.3923 0.6187
6 Tm 0.2040 0.2255 0.8165

=====

Material: Tb6Sm3Dy2Tm
Method: DFT, PBE-GGA
State: optimized geometry

Computed properties:
**Crystal system**: monoclinic

Cell: 6.1798 10.6984 11.8245 Å, 90.00 99.99 90.00°
Space group C2/m (No. 12)
Unique sites:
1 Tb 0.2491 0.1665 0.2470
2 Tb 0.2503 0.0000 0.7528
3 Sm 0.0000 0.1667 0.5000
4 Sm 0.0000 0.5000 0.5000
5 Dy 0.0000 0.3335 0.0000
6 Tm 0.0000 0.0000 0.0000

=====

Material: TbSm5DyTm2
Method: DFT, PBE-GGA
State: optimized geometry

Computed properties:
**Crystal system**: orthorhombic

Cell: 5.6142 20.1400 10.6256 Å, 90.00 90.00 90.00°
Space group Cmc2_1 (No. 36)
Unique sites:
1 Tb 0.0000 0.1992 0.0000
2 Sm 0.0000 0.0169 0.0099
3 Sm 0.0000 0.2809 0.2998
4 Sm 0.0000 0.2986 0.6956
5 Sm 0.0000 0.3885 0.0123
6 Sm 0.0000 0.4804 0.7303
7 Dy 0.0000 0.4111 0.4463
8 Tm 0.0000 0.1110 0.7276
9 Tm 0.0000 0.1148 0.3037

=====

Material: TbSm2DyTm4
Method: DFT, PBE-GGA
State: optimized geometry

Computed properties:
**Crystal system**: monoclinic

Cell: 12.2612 7.0782 12.2115 Å, 90.00 109.56 90.00°
Space group C2/m (No. 12)
Unique sites:
1 Tb 0.0000 0.0000 0.0000
2 Tb 0.0000 0.0000 0.5000
3 Sm 0.0000 0.5000 0.0000
4 Sm 0.0000 0.5000 0.5000
5 Sm 0.2500 0.2500 0.0000
6 Dy 0.2500 0.2500 0.5000
7 Tm 0.0005 0.2497 0.2511
8 Tm 0.2501 0.0000 0.2510
9 Tm 0.2497 0.0000 0.7489

=====

Material: TbSm2Dy6Tm
Method: DFT, PBE-GGA
State: optimized geometry

Computed properties:
**Crystal system**: monoclinic

Cell: 9.0143 15.0184 9.6196 Å, 90.00 98.47 90.00°
Space group C2/c (No. 15)
Unique sites:
1 Tb 0.0000 0.0201 0.2500
2 Sm 0.2479 0.0518 0.5431
3 Dy 0.0638 0.1887 0.9434
4 Dy 0.1022 0.3941 0.1196
5 Dy 0.2043 0.2232 0.3132
6 Tm 0.0000 0.4080 0.7500

=====

Material: TbSm2DyTm5
Method: DFT, PBE-GGA
State: optimized geometry

Computed properties:
**Crystal system**: tetragonal

Cell: 8.6017 8.6017 15.3031 Å, 90.00 90.00 90.00°
Space group I4/mcm (No. 140)
Unique sites:
1 Tb 0.0000 0.0000 0.2500
2 Sm 0.1165 0.3835 0.0000
3 Dy 0.0000 0.5000 0.2500
4 Tm 0.0000 0.0000 0.0000
5 Tm 0.2105 0.2895 0.3617

=====

Material: Tb2Sm6DyTm3
Method: DFT, PBE-GGA
State: optimized geometry

Computed properties:
**Crystal system**: monoclinic

Cell: 6.2018 10.7375 11.7731 Å, 90.00 100.07 90.00°
Space group C2/m (No. 12)
Unique sites:
1 Tb 0.0000 0.1667 0.0000
2 Sm 0.2492 0.1666 0.7481
3 Sm 0.2490 0.5000 0.7480
4 Dy 0.0000 0.5000 0.0000
5 Tm 0.0000 0.0000 0.5000
6 Tm 0.0000 0.3333 0.5000

=====

Material: Tb2SmDyTm4
Method: DFT, PBE-GGA
State: optimized geometry

Computed properties:
**Crystal system**: tetragonal

Cell: 4.9968 4.9968 9.9472 Å, 90.00 90.00 90.00°
Space group P4/mmm (No. 123)
Unique sites:
1 Tb 0.0000 0.0000 0.0000
2 Tb 0.5000 0.5000 0.5000
3 Sm 0.0000 0.0000 0.5000
4 Dy 0.5000 0.5000 0.0000
5 Tm 0.0000 0.5000 0.2487

=====

Material: Tb2SmDy2Tm2
Method: DFT, PBE-GGA
State: optimized geometry

Computed properties:
**Crystal system**: trigonal

Cell: 5.6490 5.6490 24.2182 Å, 90.00 90.00 120.00°
Space group R-3m (No. 166, hexagonal axes)
Unique sites:
1 Tb 0.0000 0.0000 0.1403
2 Sm 0.0000 0.0000 0.0000
3 Dy 0.0000 0.0000 0.2806
4 Tm 0.0000 0.0000 0.4272

=====

Material: Tb2Sm3DyTm6
Method: DFT, PBE-GGA
State: optimized geometry

Computed properties:
**Crystal system**: monoclinic

Cell: 6.1388 10.6254 11.6622 Å, 90.00 100.07 90.00°
Space group C2/m (No. 12)
Unique sites:
1 Tb 0.0000 0.1666 0.0000
2 Sm 0.0000 0.0000 0.5000
3 Sm 0.0000 0.3333 0.5000
4 Dy 0.0000 0.5000 0.0000
5 Tm 0.2497 0.0000 0.2482
6 Tm 0.2504 0.1666 0.7519

=====

no.,formation energy from the elements (eV per atom),Fermi-level density of states (states/eV per atom)
1,-0.27,1.06
2,-0.35,0.86
3,-0.02,1.36
4,0.12,1.49
5,0.39,1.41
6,0.12,1.36
7,0.29,1.36
8,0.43,2.15
9,0.01,1.22
10,0.12,1.42
11,0.02,1.29
12,0.15,1.62
13,0.02,1.23
14,0.12,1.34
15,0.28,1.14
16,0.02,1.17
17,0.02,1.41
18,0.15,2.60
19,0.02,1.26